1.
# KBaTlZn | the Alexandria database | PBE | relaxed
# calculated density	5.07	g cm⁻³
# calculated total energy	-1.723	eV/atom
# crystal system	cubic
# E_form	-0.058	eV per atom
data_KBaTlZn
_chemical_formula_sum 'K4 Ba4 Tl4 Zn4'
_cell_length_a 8.362
_cell_length_b 8.362
_cell_length_c 8.362
_cell_angle_alpha 90.00
_cell_angle_beta 90.00
_cell_angle_gamma 90.00
_space_group_name_H-M_alt 'F -4 3 m'
_space_group_IT_number 216
_space_group_name_Hall 'F -4 2 3'
loop_
_atom_site_label
_atom_site_fract_x
_atom_site_fract_y
_atom_site_fract_z
_atom_site_occupancy
K1 0.000 0.000 0.000 1
Ba1 0.000 0.000 0.500 1
Tl1 0.250 0.250 0.250 1
Zn1 0.250 0.250 0.750 1


2.
# KBa2Tm | the Alexandria database | PBE | relaxed
# calculated density	4.02	g cm⁻³
# calculated total energy	-1.942	eV/atom
# crystal system	trigonal
# E_form	0.411	eV per atom
data_KBa2Tm
_chemical_formula_sum 'K3 Ba6 Tm3'
_cell_length_a 3.9176
_cell_length_b 3.9176
_cell_length_c 45.0481
_cell_angle_alpha 90.00
_cell_angle_beta 90.00
_cell_angle_gamma 120.00
_space_group_name_H-M_alt 'R -3 m'
_space_group_IT_number 166
_space_group_name_Hall '-R 3 2"'
loop_
_atom_site_label
_atom_site_fract_x
_atom_site_fract_y
_atom_site_fract_z
_atom_site_occupancy
K1 0.0000 0.0000 0.0000 1
Ba1 0.0000 0.0000 0.4217 1
Tm1 0.0000 0.0000 0.5000 1


3.
# KBa3V | the Alexandria database | PBE | relaxed
# calculated density	2.84	g cm⁻³
# calculated total energy	-1.934	eV/atom
# crystal system	cubic
# E_form	1.263	eV per atom
# ΔE to the lowest computed polymorph	748	meV per atom
data_KBa3V
_chemical_formula_sum 'K1 Ba3 V1'
_cell_length_a 6.644
_cell_length_b 6.644
_cell_length_c 6.644
_cell_angle_alpha 90.00
_cell_angle_beta 90.00
_cell_angle_gamma 90.00
_space_group_name_H-M_alt 'P m -3 m'
_space_group_IT_number 221
_space_group_name_Hall '-P 4 2 3'
loop_
_atom_site_label
_atom_site_fract_x
_atom_site_fract_y
_atom_site_fract_z
_atom_site_occupancy
K1 0.000 0.000 0.000 1
Ba1 0.000 0.000 0.500 1
V1 0.500 0.500 0.500 1


4.
# KBaV | the Alexandria database | PBE | relaxed
# calculated density	2.54	g cm⁻³
# calculated total energy	-3.057	eV/atom
# crystal system	tetragonal
# E_form	0.989	eV per atom
# ΔE to the lowest computed polymorph	504	meV per atom
data_KBaV
_chemical_formula_sum 'K2 Ba2 V2'
_cell_length_a 5.597
_cell_length_b 5.597
_cell_length_c 9.471
_cell_angle_alpha 90.00
_cell_angle_beta 90.00
_cell_angle_gamma 90.00
_space_group_name_H-M_alt 'P 4/n m m'
_space_group_IT_number 129
loop_
_space_group_symop_operation_xyz
'x,y,z'
'-x,-y,-z'
'-y+1/2,x,z'
'y+1/2,-x,-z'
'-x+1/2,-y+1/2,z'
'x+1/2,y+1/2,-z'
'y,-x+1/2,z'
'-y,x+1/2,-z'
'x+1/2,-y,-z'
'-x+1/2,y,z'
'-y,-x,-z'
'y,x,z'
'-x,y+1/2,-z'
'x,-y+1/2,z'
'y+1/2,x+1/2,-z'
'-y+1/2,-x+1/2,z'
loop_
_atom_site_label
_atom_site_fract_x
_atom_site_fract_y
_atom_site_fract_z
_atom_site_occupancy
K1 0.250 0.250 0.129 1
Ba1 0.250 0.750 0.500 1
V1 0.250 0.250 0.724 1


5.
# KBaV | the Alexandria database | PBE | relaxed
# calculated density	2.56	g cm⁻³
# calculated total energy	-3.204	eV/atom
# crystal system	hexagonal
# E_form	0.842	eV per atom
# ΔE to the lowest computed polymorph	357	meV per atom
data_KBaV
_chemical_formula_sum 'K2 Ba2 V2'
_cell_length_a 6.0064
_cell_length_b 6.0064
_cell_length_c 9.4588
_cell_angle_alpha 90.00
_cell_angle_beta 90.00
_cell_angle_gamma 120.00
_space_group_name_H-M_alt 'P -6 m 2'
_space_group_IT_number 187
_space_group_name_Hall 'P -6 2'
loop_
_atom_site_label
_atom_site_fract_x
_atom_site_fract_y
_atom_site_fract_z
_atom_site_occupancy
K1 0.0000 0.0000 0.0000 1
K2 0.0000 0.0000 0.5000 1
Ba1 0.6667 0.3333 0.2163 1
V1 0.3333 0.6667 0.0959 1


6.
# KBaV | the Alexandria database | PBE | relaxed
# calculated density	2.76	g cm⁻³
# calculated total energy	-3.428	eV/atom
# crystal system	monoclinic
# E_form	0.618	eV per atom
# ΔE to the lowest computed polymorph	133	meV per atom
data_KBaV
_chemical_formula_sum 'K4 Ba4 V4'
_cell_length_a 19.596
_cell_length_b 6.267
_cell_length_c 4.457
_cell_angle_alpha 90.00
_cell_angle_beta 90.19
_cell_angle_gamma 90.00
_space_group_name_H-M_alt 'C 1 m 1'
_space_group_IT_number 8
loop_
_space_group_symop_operation_xyz
'x,y,z'
'x,-y,z'
'x+1/2,y+1/2,z'
'x+1/2,-y+1/2,z'
loop_
_atom_site_label
_atom_site_fract_x
_atom_site_fract_y
_atom_site_fract_z
_atom_site_occupancy
K1 0.000 0.000 0.000 1
K2 0.076 0.500 0.516 1
Ba1 0.247 0.500 0.993 1
Ba2 0.348 0.000 0.477 1
V1 0.175 0.000 0.522 1
V2 0.195 0.000 0.922 1


7.
# KBaV | the Alexandria database | PBE | relaxed
# calculated density	2.60	g cm⁻³
# calculated total energy	-3.514	eV/atom
# crystal system	triclinic
# E_form	0.533	eV per atom
# ΔE to the lowest computed polymorph	47	meV per atom
data_KBaV
_chemical_formula_sum 'K2 Ba2 V2'
_cell_length_a 4.249
_cell_length_b 4.414
_cell_length_c 15.660
_cell_angle_alpha 90.75
_cell_angle_beta 97.77
_cell_angle_gamma 90.07
_space_group_name_H-M_alt 'P -1'
_space_group_IT_number 2
loop_
_space_group_symop_operation_xyz
'x,y,z'
'-x,-y,-z'
loop_
_atom_site_label
_atom_site_fract_x
_atom_site_fract_y
_atom_site_fract_z
_atom_site_occupancy
K1 0.190 0.243 0.383 1
Ba1 0.426 0.271 0.851 1
V1 0.011 0.194 0.023 1


8.
# KBaV | the Alexandria database | PBE | relaxed
# calculated density	2.98	g cm⁻³
# calculated total energy	-3.356	eV/atom
# crystal system	triclinic
# E_form	0.691	eV per atom
# ΔE to the lowest computed polymorph	206	meV per atom
data_KBaV
_chemical_formula_sum 'K2 Ba2 V2'
_cell_length_a 3.690
_cell_length_b 6.487
_cell_length_c 10.957
_cell_angle_alpha 78.28
_cell_angle_beta 81.27
_cell_angle_gamma 83.85
_space_group_name_H-M_alt 'P 1'
_space_group_IT_number 1
loop_
_space_group_symop_operation_xyz
'x,y,z'
loop_
_atom_site_label
_atom_site_fract_x
_atom_site_fract_y
_atom_site_fract_z
_atom_site_occupancy
K1 0.000 0.000 0.000 1
K2 0.156 0.424 0.205 1
Ba1 0.615 0.585 0.756 1
Ba2 0.745 0.142 0.542 1
V1 0.215 0.674 0.477 1
V2 0.503 0.838 0.348 1


9.
# KBaV | the Alexandria database | PBE | relaxed
# calculated density	2.58	g cm⁻³
# calculated total energy	-3.262	eV/atom
# crystal system	orthorhombic
# E_form	0.784	eV per atom
# ΔE to the lowest computed polymorph	299	meV per atom
data_KBaV
_chemical_formula_sum 'K4 Ba4 V4'
_cell_length_a 10.387
_cell_length_b 4.044
_cell_length_c 13.949
_cell_angle_alpha 90.00
_cell_angle_beta 90.00
_cell_angle_gamma 90.00
_space_group_name_H-M_alt 'P n m a'
_space_group_IT_number 62
loop_
_space_group_symop_operation_xyz
'x,y,z'
'-x,-y,-z'
'-x+1/2,-y,z+1/2'
'x+1/2,y,-z+1/2'
'x+1/2,-y+1/2,-z+1/2'
'-x+1/2,y+1/2,z+1/2'
'-x,y+1/2,-z'
'x,-y+1/2,z'
loop_
_atom_site_label
_atom_site_fract_x
_atom_site_fract_y
_atom_site_fract_z
_atom_site_occupancy
K1 0.188 0.250 0.011 1
Ba1 0.017 0.250 0.715 1
V1 0.022 0.250 0.475 1


10.
# KBaV | the Alexandria database | PBE | relaxed
# calculated density	2.75	g cm⁻³
# calculated total energy	-3.515	eV/atom
# crystal system	triclinic
# E_form	0.532	eV per atom
# ΔE to the lowest computed polymorph	46	meV per atom
data_KBaV
_chemical_formula_sum 'K2 Ba2 V2'
_cell_length_a 3.883
_cell_length_b 4.333
_cell_length_c 16.564
_cell_angle_alpha 87.10
_cell_angle_beta 83.40
_cell_angle_gamma 82.28
_space_group_name_H-M_alt 'P -1'
_space_group_IT_number 2
loop_
_space_group_symop_operation_xyz
'x,y,z'
'-x,-y,-z'
loop_
_atom_site_label
_atom_site_fract_x
_atom_site_fract_y
_atom_site_fract_z
_atom_site_occupancy
K1 0.195 0.235 0.116 1
Ba1 0.421 0.302 0.653 1
V1 0.077 0.187 0.481 1


11.
# K3BaV | the Alexandria database | PBE | relaxed
# calculated density	1.67	g cm⁻³
# calculated total energy	-2.025	eV/atom
# crystal system	cubic
# E_form	0.842	eV per atom
data_K3BaV
_chemical_formula_sum 'K3 Ba1 V1'
_cell_length_a 6.724
_cell_length_b 6.724
_cell_length_c 6.724
_cell_angle_alpha 90.00
_cell_angle_beta 90.00
_cell_angle_gamma 90.00
_space_group_name_H-M_alt 'P m -3 m'
_space_group_IT_number 221
_space_group_name_Hall '-P 4 2 3'
loop_
_atom_site_label
_atom_site_fract_x
_atom_site_fract_y
_atom_site_fract_z
_atom_site_occupancy
K1 0.000 0.000 0.500 1
Ba1 0.500 0.500 0.500 1
V1 0.000 0.000 0.000 1


12.
# KBaV | the Alexandria database | PBE | relaxed
# calculated density	1.35	g cm⁻³
# calculated total energy	-2.314	eV/atom
# crystal system	hexagonal
# E_form	1.732	eV per atom
# ΔE to the lowest computed polymorph	1247	meV per atom
data_KBaV
_chemical_formula_sum 'K2 Ba2 V2'
_cell_length_a 7.2542
_cell_length_b 7.2542
_cell_length_c 12.2703
_cell_angle_alpha 90.00
_cell_angle_beta 90.00
_cell_angle_gamma 120.00
_space_group_name_H-M_alt 'P 63/m m c'
_space_group_IT_number 194
_space_group_name_Hall '-P 6c 2c'
loop_
_atom_site_label
_atom_site_fract_x
_atom_site_fract_y
_atom_site_fract_z
_atom_site_occupancy
K1 0.3333 0.6667 0.2500 1
Ba1 0.0000 0.0000 0.2500 1
V1 0.0000 0.0000 0.0000 1